The following is a PBE calculation of crystalline NdY5Ho2Tm at its relaxed geometry, from Alexandria via LeMat-Bulk.

For the density, the calculation gives 6.07 g cm⁻³. For the energy of formation, the calculation gives 155 meV per atom. As for the energy: -5.48 eV/atom.

It has space group Cmc2_1 (No. 36), with a = 5.620 Å, b = 20.185 Å, c = 10.489 Å, α = 90.00°, β = 90.00° and γ = 90.00°. The asymmetric unit holds Nd at (0.000, 0.196, 0.000), Y at (0.000, 0.016, 0.008), Y at (0.000, 0.278, 0.300), Y at (0.000, 0.302, 0.690), Y at (0.000, 0.389, 0.010), Y at (0.000, 0.479, 0.724), Ho at (0.000, 0.111, 0.721), Ho at (0.000, 0.112, 0.304) and Tm at (0.000, 0.412, 0.437).

=====

The following is a PBE calculation of crystalline Nd2Y2HoTm4 at its relaxed geometry, from Alexandria via LeMat-Bulk.

For the density, the calculation gives 7.59 g cm⁻³. For the energy of formation, the calculation gives -1 meV per atom. As for the energy: -4.99 eV/atom.

It has space group C2/m (No. 12), with a = 18.599 Å, b = 3.584 Å, c = 9.522 Å, α = 90.00°, β = 115.75° and γ = 90.00°. The asymmetric unit holds Nd at (0.165, 0.000, 0.002), Y at (0.146, 0.500, 0.662), Ho at (0.000, 0.500, 0.000), Tm at (0.020, 0.000, 0.334) and Tm at (0.185, 0.500, 0.337).

=====

The following is a PBE calculation of crystalline Nd2Y3Ho6Tm at its relaxed geometry, from Alexandria via LeMat-Bulk.

For the density, the calculation gives 7.44 g cm⁻³. For the energy of formation, the calculation gives 20 meV per atom. As for the energy: -5.05 eV/atom.

It has space group C2/m (No. 12), with a = 6.166 Å, b = 10.671 Å, c = 11.797 Å, α = 90.00°, β = 99.99° and γ = 90.00°. The asymmetric unit holds Nd at (0.000, 0.167, 0.000), Y at (0.000, 0.000, 0.500), Y at (0.000, 0.334, 0.500), Ho at (0.248, 0.500, 0.749), Ho at (0.250, 0.166, 0.749) and Tm at (0.000, 0.500, 0.000).